Density functional theory data (PBE) for a geometry-optimized Er2SiAu3 structure.

Calculated total energy (eV/atom): -4.85
Raw formation energy (eV/atom): -0.786
Magnetization (μB/cell): 0.0

Structure (POSCAR):
```
Er2SiAu3
1.0
3.458 0.000 0.000
0.000 4.456 0.000
0.000 0.000 8.034
Er Si Au
2 1 3
Cartesian
0.000 0.000 0.000 Er
0.000 2.228 3.933 Er
1.729 2.228 6.613 Si
1.729 0.000 2.707 Au
1.729 0.000 5.467 Au
1.729 2.228 1.098 Au
```



Density functional theory data (PBE) for a geometry-optimized Tb3NdSe4 structure.

Calculated total energy (eV/atom): -5.86
Raw formation energy (eV/atom): -1.785
Magnetization (μB/cell): 0.0

Structure (POSCAR):
```
Tb3NdSe4
1.0
8.367 0.000 0.000
0.000 11.688 0.000
0.000 0.000 4.076
Tb Nd Se
6 2 8
Cartesian
0.000 0.000 0.000 Tb
2.092 2.922 2.038 Tb
2.092 8.766 2.038 Tb
4.184 5.844 0.000 Tb
6.275 2.922 2.038 Tb
6.275 8.766 2.038 Tb
0.000 5.844 0.000 Nd
4.184 0.000 0.000 Nd
0.000 2.875 0.000 Se
0.000 8.813 0.000 Se
2.024 0.000 2.038 Se
2.160 5.844 2.038 Se
4.184 2.969 0.000 Se
4.184 8.719 0.000 Se
6.207 5.844 2.038 Se
6.344 0.000 2.038 Se
```



Density functional theory data (PBE) for a geometry-optimized SrReRh2 structure.

Calculated total energy (eV/atom): -6.70
Formation energy (meV per atom): 508
Magnetization (μB/cell): 0.0

Structure (POSCAR):
```
SrReRh2
1.0
3.588 0.000 0.000
0.000 5.294 0.000
0.000 0.000 8.611
Sr Re Rh
2 2 4
Cartesian
0.000 0.000 0.000 Sr
1.794 2.647 4.306 Sr
0.000 0.000 4.306 Re
1.794 2.647 0.000 Re
0.000 2.647 1.686 Rh
0.000 2.647 6.925 Rh
1.794 0.000 2.619 Rh
1.794 0.000 5.992 Rh
```



Density functional theory data (PBE) for a geometry-optimized GdLuSb structure.

Calculated total energy (eV/atom): -8.21
Raw formation energy (eV/atom): -0.637
Magnetization (μB/cell): 16.1

Structure (POSCAR):
```
GdLuSb
1.0
3.936 0.000 0.000
0.000 3.936 0.000
0.000 0.000 10.770
Gd Lu Sb
2 2 2
Cartesian
0.000 0.000 0.000 Gd
1.968 1.968 5.385 Gd
0.000 0.000 3.300 Lu
1.968 1.968 8.684 Lu
0.000 0.000 7.137 Sb
1.968 1.968 1.752 Sb
```



Density functional theory data (PBE) for a geometry-optimized CeSnSb structure.

Calculated total energy (eV/atom): -5.09
Raw formation energy (eV/atom): -0.400
Magnetization (μB/cell): 1.0

Structure (POSCAR):
```
CeSnSb
1.0
5.222 0.000 0.000
-2.611 4.522 0.000
0.000 0.000 3.618
Ce Sn Sb
1 1 1
Cartesian
0.000 0.000 0.000 Ce
0.000 3.015 1.814 Sn
2.611 1.507 1.801 Sb
```



Density functional theory data (PBE) for a geometry-optimized K3VTe4 structure.

Calculated total energy (eV/atom): -3.88
Raw formation energy (eV/atom): -0.754
Magnetization (μB/cell): 0.0

Structure (POSCAR):
```
K3VTe4
1.0
10.283 0.000 0.000
0.000 11.734 0.000
0.000 0.000 10.290
K V Te
12 4 16
Cartesian
0.522 0.555 2.068 K
0.522 5.312 2.068 K
1.346 8.800 4.196 K
3.796 2.933 9.341 K
4.619 6.422 7.213 K
4.619 11.178 7.213 K
5.664 0.555 3.077 K
5.664 5.312 3.077 K
6.487 8.800 0.949 K
8.937 2.933 6.094 K
9.761 6.422 8.222 K
9.761 11.178 8.222 K
2.206 8.800 10.118 V
2.935 2.933 4.973 V
7.348 8.800 5.317 V
8.077 2.933 0.172 V
0.110 2.933 9.443 Te
1.702 0.861 5.670 Te
1.702 5.006 5.670 Te
2.014 8.800 7.615 Te
3.127 2.933 2.470 Te
3.439 6.728 0.525 Te
3.439 10.873 0.525 Te
5.032 8.800 4.298 Te
5.251 2.933 5.992 Te
6.844 0.861 9.765 Te
6.844 5.006 9.765 Te
7.156 8.800 7.821 Te
8.268 2.933 2.675 Te
8.581 6.728 4.620 Te
8.581 10.873 4.620 Te
10.173 8.800 0.847 Te
```



Density functional theory data (PBE) for a geometry-optimized TbIn2PbSe4 structure.

Calculated total energy (eV/atom): -4.33
Raw formation energy (eV/atom): -0.860
Magnetization (μB/cell): 0.0

Structure (POSCAR):
```
TbIn2PbSe4
1.0
7.577 0.000 0.000
0.000 4.189 0.000
-2.405 0.000 7.191
Tb In Pb Se
1 2 1 4
Cartesian
0.000 0.000 0.000 Tb
2.586 0.000 3.596 In
3.789 2.094 0.000 In
-1.203 2.094 3.596 Pb
1.194 2.094 1.595 Se
0.006 0.000 5.552 Se
5.166 0.000 1.639 Se
3.978 2.094 5.596 Se
```



Density functional theory data (PBE) for a geometry-optimized CuSCl2 structure.

Calculated total energy (eV/atom): -2.23
Raw formation energy (eV/atom): 0.750
Magnetization (μB/cell): 0.0

Structure (POSCAR):
```
CuSCl2
1.0
6.607 0.000 0.000
0.000 6.607 0.000
0.000 0.000 6.607
Cu S Cl
4 4 8
Cartesian
0.000 0.000 0.000 Cu
0.000 3.303 3.303 Cu
3.303 0.000 3.303 Cu
3.303 3.303 0.000 Cu
0.000 0.000 3.303 S
0.000 3.303 0.000 S
3.303 0.000 0.000 S
3.303 3.303 3.303 S
1.652 1.652 1.652 Cl
1.652 1.652 4.955 Cl
1.652 4.955 1.652 Cl
1.652 4.955 4.955 Cl
4.955 1.652 1.652 Cl
4.955 1.652 4.955 Cl
4.955 4.955 1.652 Cl
4.955 4.955 4.955 Cl
```



- Which of these has the highest calculated total energy?
  CuSCl2